ZnSi2Ag: single point on PBEsol structure, SCAN.

Lattice parameters (Å, degrees): 2.6672 4.7807 5.5447 115.54 103.92 90.00
Fractional positions:
1 Ag 0.0000 0.5000 0.0000
2 Zn 0.5000 0.0000 0.0000
3 Si 0.2484 0.2484 0.4968
4 Si 0.7516 0.7516 0.5032

total moment: 0.00 μB/f.u.
calculated volume: 61 Å³/cell
density: 6197 kg/m3
DOS(E_F): 1.41 states/eV per cell
formation energy (no corrections): 0.45 eV per atom